Entry 1:
YCdAu | PBE | optimized geometry

a b c (Å): 4.805 4.805 4.805
angles (deg): 60.00 60.00 60.00
Positions (direct):
1 Y 0.000 0.000 0.000
2 Cd 0.500 0.500 0.500
3 Au 0.250 0.250 0.250

Results
E_form ... -521 meV/atom

Entry 2:
PrMgPd4 | PBE | optimized geometry

a b c (Å): 9.165 9.165 6.030
angles (deg): 90.00 90.00 153.43
Positions (direct):
1 Pr 0.090 0.910 0.750
2 Pr 0.910 0.090 0.250
3 Mg 0.226 0.774 0.250
4 Mg 0.774 0.226 0.750
5 Pd 0.078 0.922 0.250
6 Pd 0.339 0.661 0.525
7 Pd 0.339 0.661 0.975
8 Pd 0.500 0.500 0.000
9 Pd 0.500 0.500 0.500
10 Pd 0.661 0.339 0.025
11 Pd 0.661 0.339 0.475
12 Pd 0.922 0.078 0.750

Results
E_form ... -659 meV/atom

Entry 3:
SbMo | PBE | optimized geometry

a b c (Å): 5.111 5.111 7.373
angles (deg): 104.67 104.67 37.91
Positions (direct):
1 Sb 0.000 0.000 0.000
2 Sb 0.057 0.057 0.594
3 Sb 0.332 0.332 0.239
4 Mo 0.344 0.344 0.665
5 Mo 0.637 0.637 0.335
6 Mo 0.704 0.704 0.908

Results
Formation energy from raw total energies ... 0.262 eV/atom

no.,E (eV per cell),calculated volume (A^3/atom)
1,-12.22,26.15
2,-62.19,18.88
3,-43.29,19.00